# 1
Computed, not measured: an optimized crystal structure of Sm6ScAg5 at the GGA-PBE level of DFT.

a = 5.2704 Å, b = 7.4005 Å, c = 8.4659 Å
α = 90.00°, β = 108.21°, γ = 90.00°
Sites, in units of the cell vectors:
Sm 0.0000 0.2365 0.0000
Sm 0.0000 0.7635 0.0000
Sm 0.3278 0.2542 0.6566
Sm 0.3278 0.7458 0.6566
Sm 0.6722 0.2542 0.3434
Sm 0.6722 0.7458 0.3434
Sc 0.5000 0.5000 0.0000
Ag 0.1479 0.5000 0.2953
Ag 0.1693 0.0000 0.3371
Ag 0.5000 0.0000 0.0000
Ag 0.8308 0.0000 0.6629
Ag 0.8521 0.5000 0.7047

* symmetry: P2/m
* calculated formation energy: -0.19 eV per atom
* theoretical density: 7.87 g/cm³
* V: 26.14 A^3/atom

---

# 2
Computed, not measured: an optimized crystal structure of Ho3TmPu2Se6 at the GGA-PBE level of DFT.

a = 9.1206 Å, b = 9.1206 Å, c = 8.1884 Å
α = 103.18°, β = 103.18°, γ = 25.71°
Sites, in units of the cell vectors:
Ho 0.0000 0.0000 0.0000
Ho 0.3314 0.3314 0.6663
Ho 0.6686 0.6686 0.3337
Tm 0.0000 0.0000 0.5000
Pu 0.3342 0.3342 0.1667
Pu 0.6658 0.6658 0.8333
Se 0.1654 0.1654 0.0869
Se 0.1648 0.1648 0.5773
Se 0.4970 0.4970 0.7460
Se 0.5030 0.5030 0.2540
Se 0.8352 0.8352 0.4227
Se 0.8346 0.8346 0.9131

* symmetry: C2/m
* raw formation energy: -1.68 eV per atom
* theoretical density: 9.39 g/cm³
* V: 23.94 A^3/atom

---

| no. | M_tot (μB/cell) | E_tot (eV for the cell shown) |
| --- | --- | --- |
| 1 | 0.00 | -51.19 |
| 2 | 11.78 | -87.88 |